1.
VASP calculation (PBE) on a relaxed BaSrCuNi crystal.

Final energy in eV/atom: -3.427
Spin magnetization in μB/atom: 0.0000
Energy of formation in meV per atom: -56

The structure in extended XYZ format:
```
4
Lattice="2.153 1.243 8.050 -2.153 1.243 8.050 0.000 -2.486 8.050" Properties=species:S:1:pos:R:3 pbc="T T T"
Ba 0.000 0.000 0.000
Sr 0.000 0.000 4.045
Cu 0.000 0.000 10.171
Ni 0.000 0.000 18.192
```

=====

2.
VASP calculation (PBE) on a relaxed Na2YZr2Se6 crystal.

Final energy in eV/atom: -5.739
Spin magnetization in μB/atom: 0.0000
E_form (uncorrected) in eV/f.u.: -16.03

The structure in extended XYZ format:
```
11
Lattice="3.385 -5.906 0.000 3.385 5.906 0.000 -2.229 0.000 7.194" Properties=species:S:1:pos:R:3 pbc="T T T"
Na 3.385 3.986 0.000
Na 3.385 -3.986 0.000
Y -1.114 0.000 3.597
Zr 2.271 1.971 3.597
Zr 2.271 -1.971 3.597
Se 0.055 2.044 5.209
Se 1.250 0.000 1.983
Se 0.055 -2.044 5.209
Se 4.487 2.044 1.985
Se 3.292 0.000 5.210
Se 4.487 -2.044 1.985
```

=====

3.
VASP calculation (PBE) on a relaxed Ac12Sm7Y crystal.

Final energy in eV/atom: -4.245
Spin magnetization in μB/atom: 0.0000
Energy of formation in meV per atom: 195

The structure in extended XYZ format:
```
20
Lattice="10.407 6.008 2.224 -10.407 6.008 2.224 0.000 -12.017 2.224" Properties=species:S:1:pos:R:3 pbc="T T T"
Ac -4.293 -4.581 2.224
Ac -6.114 -1.428 2.224
Ac 0.000 -4.149 1.226
Ac -3.593 2.074 1.226
Ac -6.114 1.428 4.449
Ac -1.820 6.008 2.224
Ac 3.593 2.074 1.226
Ac -3.593 -2.074 5.447
Ac -4.293 4.581 4.449
Ac 1.820 6.008 2.224
Ac 3.593 -2.074 5.447
Ac 0.000 4.149 5.447
Sm 0.000 0.000 0.000
Sm -2.525 -1.458 2.082
Sm 2.525 -1.458 2.082
Sm 0.000 2.915 2.082
Sm 0.000 -2.915 4.591
Sm -2.525 1.458 4.591
Sm 2.525 1.458 4.591
Y 0.000 0.000 3.337
```

=====

Number 1: ρ 4.46 g/cm3. Number 2: ρ 4.57 g/cm3. Number 3: ρ 7.69 g/cm3.